Arrangement P

KMoCl2: optimized geometry, GGA-PBE.

Unit cell a=4.1777 b=4.1777 c=7.6857 alpha=90.00 beta=90.00 gamma=117.28
Site moments in Bohr magnetons follow the coordinates.
Element x y z (fractional)
Mo1 0.5000 0.5000 0.7500  3.82
K1 0.5000 0.5000 0.2500  0.01
Cl1 0.0000 0.0000 0.9710  0.04
Cl2 0.0000 0.0000 0.5290  0.04

Calculated values
- Fermi-level density of states (states/eV per atom) = 0.3014



Arrangement Q

KMoCl2: optimized geometry, GGA-PBE.

Unit cell a=3.9668 b=3.9669 c=7.2261 alpha=90.00 beta=90.00 gamma=90.05
Site moments in Bohr magnetons follow the coordinates.
Element x y z (fractional)
Mo1 0.5000 0.5000 0.9041  3.68
K1 0.0000 0.0000 0.4404  0.01
Cl1 0.0000 0.0000 0.8813  0.04
Cl2 0.5000 0.5000 0.2742  0.04

Calculated values
- Fermi-level density of states (states/eV per atom) = 0.2179



Arrangement R

KMoCl2: optimized geometry, GGA-PBE.

Unit cell a=5.8816 b=5.8816 c=7.8717 alpha=68.06 beta=68.06 gamma=90.00
Element x y z (fractional)
Mo1 0.0000 0.0000 0.0000
Mo2 0.7500 0.2500 0.5000
K1 0.5000 0.5000 0.0000
K2 0.2500 0.7500 0.5000
Cl1 0.7347 0.1250 0.2500
Cl2 0.0153 0.6250 0.2500
Cl3 0.3750 0.2653 0.7500
Cl4 0.8750 0.9847 0.7500

Calculated values
- Fermi-level density of states (states/eV per atom) = 1.0000



Which structure wins on stability? arrangement Q wins.



Arrangement P

KMoCl2: optimized geometry, GGA-PBE.

Unit cell a=5.2614 b=5.2614 c=5.2614 alpha=60.00 beta=60.00 gamma=60.00
Site moments in Bohr magnetons follow the coordinates.
Element x y z (fractional)
Mo1 0.7500 0.7500 0.7500  4.02
K1 0.5000 0.5000 0.5000  0.05
Cl1 0.0000 0.0000 0.0000  -0.01
Cl2 0.2500 0.2500 0.2500  0.04

Calculated values
- Fermi-level density of states (states/eV per atom) = 0.8023



Arrangement Q

KMoCl2: optimized geometry, GGA-PBE.

Unit cell a=9.4257 b=9.4257 c=9.4257 alpha=20.17 beta=20.17 gamma=20.17
Element x y z (fractional)
Mo1 0.0000 0.0000 0.0000
K1 0.5000 0.5000 0.5000
Cl1 0.9146 0.9146 0.9146
Cl2 0.0854 0.0854 0.0854

Calculated values
- Fermi-level density of states (states/eV per atom) = 0.7298



Arrangement R

KMoCl2: optimized geometry, GGA-PBE.

Unit cell a=4.6566 b=4.6566 c=7.1974 alpha=86.83 beta=86.83 gamma=60.14
Site moments in Bohr magnetons follow the coordinates.
Element x y z (fractional)
Mo1 0.2500 0.2500 0.2500  3.79
K1 0.7500 0.7500 0.7500  0.01
Cl1 0.0708 0.0708 0.9849  0.04
Cl2 0.4292 0.4292 0.5151  0.04



Arrangement S

KMoCl2: optimized geometry, GGA-PBE.

Unit cell a=7.3586 b=7.3585 c=4.0823 alpha=90.06 beta=90.06 gamma=31.01
Site moments in Bohr magnetons follow the coordinates.
Element x y z (fractional)
Mo1 0.2336 0.2336 0.1229  3.77
K1 0.4642 0.4642 0.6265  0.02
Cl1 0.0463 0.0463 0.1268  0.04
Cl2 0.7559 0.7559 0.6238  0.04

Calculated values
- Fermi-level density of states (states/eV per atom) = 0.2505



Which structure wins on stability? arrangement R wins.